Record 1
Density functional theory data (PBE) for a relaxed structure of Te2WBr.

## Properties
The calculation puts the density at 7.84 g/cm3. The uncorrected formation energy comes out at 0.45 eV per atom.

```
Te2WBr
1.0
-6.175 0.405 3.680
-5.798 -4.258 -0.308
6.967 1.382 1.175
Te Br W
2 1 1
direct
0.919 0.919 0.000
0.581 0.581 0.000
0.250 0.750 0.500
0.750 0.250 0.500
```

***

Record 2
Density functional theory data (PBE) for a relaxed structure of Zn3CdH.

## Properties
The value obtained for the total DFT energy (no corrections) is -1.337 eV per atom. The calculation puts the density at 7.05 g/cm3.

```
Zn3CdH
1.0
4.177 0.000 0.000
0.000 4.177 0.000
0.000 0.000 4.177
H Zn Cd
1 3 1
direct
0.000 0.000 0.000
0.000 0.500 0.000
0.000 0.000 0.500
0.500 0.000 0.000
0.500 0.500 0.500
```

***

Record 3
Density functional theory data (PBE) for a relaxed structure of AcIn5Cu.

## Properties
The value obtained for the total DFT energy (no corrections) is -3.341 eV per atom. The calculation puts the density at 7.73 g/cm3.

```
AcIn5Cu
1.0
4.865 0.000 0.000
0.000 4.865 0.000
0.000 0.000 7.848
Ac In Cu
1 5 1
direct
0.000 0.000 0.000
0.500 0.000 0.691
0.000 0.500 0.691
0.500 0.500 0.000
0.000 0.500 0.309
0.500 0.000 0.309
0.000 0.000 0.500
```

***

Record 4
Density functional theory data (PBE) for a relaxed structure of Li3Zn4Cu.

## Properties
The value obtained for the total DFT energy (no corrections) is -1.937 eV per atom. The calculation puts the density at 4.98 g/cm3.

```
Li3Zn4Cu
1.0
5.654 -0.330 -0.678
-3.072 4.758 0.678
-2.957 -1.242 4.717
Li Zn Cu
3 4 1
direct
0.581 0.252 0.833
0.832 0.000 0.832
0.581 0.748 0.330
0.089 0.741 0.829
0.089 0.259 0.348
0.569 0.250 0.319
0.069 0.750 0.319
0.341 0.500 0.841
```

***

Copy entry 1 word for word.
Density functional theory data (PBE) for a relaxed structure of Te2WBr.

## Properties
The calculation puts the density at 7.84 g/cm3. The uncorrected formation energy comes out at 0.45 eV per atom.

```
Te2WBr
1.0
-6.175 0.405 3.680
-5.798 -4.258 -0.308
6.967 1.382 1.175
Te Br W
2 1 1
direct
0.919 0.919 0.000
0.581 0.581 0.000
0.250 0.750 0.500
0.750 0.250 0.500
```

***

- Which formula does entry 3 have?
  AcIn5Cu